1.
DFT (PBE-GGA) results for crystalline NdSm2P at its relaxed geometry.

Unit cell a=9.8098 b=9.8098 c=9.8098 alpha=22.86 beta=22.86 gamma=22.86
Closest atoms and distances in Å follow each position.
Fractional positions:
Nd  0.0000  0.0000  0.0000  6 Sm 3.82, 6 Nd 3.89
Sm  0.2254  0.2254  0.2254  3 P 2.81
Sm  0.7746  0.7746  0.7746  3 P 2.81
P  0.5000  0.5000  0.5000  6 Sm 2.81

## Properties
Total magnetization, μB/atom: 0.00
Energy of formation, kJ/mol of atoms: -65.96
E, eV per cell: -22.35

2.
DFT (PBE-GGA) results for crystalline CrSiPt2 at its relaxed geometry.

Unit cell a=2.9142 b=3.6225 c=5.5354 alpha=90.00 beta=90.00 gamma=90.00
Closest atoms and distances in Å follow each position.
Fractional positions:
Cr  0.0000  0.0000  0.0000  8 Pt 2.71, 2 Si 2.77, 2 Cr 2.91
Si  0.0000  0.0000  0.5000  8 Pt 2.70, 2 Cr 2.77, 2 Si 2.91
Pt  0.5000  0.5000  0.2532  4 Si 2.70, 4 Cr 2.71, 4 Pt 2.73-2.91
Pt  0.5000  0.5000  0.7468  4 Si 2.70, 4 Cr 2.71, 4 Pt 2.73-2.91

## Properties
Formation energy from raw total energies, kJ/mol of formula units: -92
Total magnetization, μB/atom: 0.83
E, eV per cell: -28.08

3.
DFT (PBE-GGA) results for crystalline TiCo4B at its relaxed geometry.

Unit cell a=6.7656 b=6.7656 c=5.2297 alpha=90.00 beta=90.00 gamma=146.52
Closest atoms and distances in Å follow each position.
Fractional positions:
Ti  0.1002  0.8998  0.7500  13 Co 2.62-2.91
Ti  0.8998  0.1002  0.2500  13 Co 2.62-2.91
Co  0.1036  0.8964  0.2500  2 B 1.95
Co  0.2961  0.7039  0.0202  1 B 1.88
Co  0.2961  0.7039  0.4798  1 B 1.88
Co  0.5000  0.5000  0.0000  2 B 1.91
Co  0.5000  0.5000  0.5000  2 B 1.91
Co  0.7039  0.2961  0.5202  1 B 1.88
Co  0.7039  0.2961  0.9798  1 B 1.88
Co  0.8964  0.1036  0.7500  2 B 1.95
B  0.3922  0.6078  0.7500  6 Co 1.88-1.95
B  0.6078  0.3922  0.2500  6 Co 1.88-1.95

## Properties
Total magnetization, μB/atom: 0.47
Energy of formation, kJ/mol of atoms: -15.31
E, eV per cell: -87.90

4.
DFT (PBE-GGA) results for crystalline SrLi12Ag4 at its relaxed geometry.

Unit cell a=7.9091 b=7.9091 c=7.9091 alpha=109.47 beta=109.47 gamma=109.47
Closest atoms and distances in Å follow each position.
Fractional positions:
Sr  0.0000  0.0000  0.0000  12 Li 3.57, 8 Ag 3.95
Li  0.1687  0.5211  0.3524  2 Ag 2.58, 1 Li 2.70
Li  0.1687  0.8162  0.6476  2 Ag 2.58, 1 Li 2.70
Li  0.1838  0.3524  0.8313  2 Ag 2.58, 1 Li 2.70
Li  0.3524  0.1687  0.5211  2 Ag 2.58, 1 Li 2.70
Li  0.3524  0.8313  0.1838  2 Ag 2.58, 1 Li 2.70
Li  0.4789  0.6476  0.8313  2 Ag 2.58, 1 Li 2.70
Li  0.5211  0.3524  0.1687  2 Ag 2.58, 1 Li 2.70
Li  0.6476  0.1687  0.8162  2 Ag 2.58, 1 Li 2.70
Li  0.6476  0.8313  0.4789  2 Ag 2.58, 1 Li 2.70
Li  0.8162  0.6476  0.1687  2 Ag 2.58, 1 Li 2.70
Li  0.8313  0.1838  0.3524  2 Ag 2.58, 1 Li 2.70
Li  0.8313  0.4789  0.6476  2 Ag 2.58, 1 Li 2.70
Ag  0.0000  0.0000  0.5000  6 Li 2.58
Ag  0.0000  0.5000  0.0000  6 Li 2.58
Ag  0.5000  0.0000  0.0000  6 Li 2.58
Ag  0.5000  0.5000  0.5000  6 Li 2.58

## Properties
Total magnetization, μB/atom: 0.00
Energy of formation, kJ/mol of atoms: 3.22
E, eV per cell: -35.49

5.
DFT (PBE-GGA) results for crystalline SiNi2Rh at its relaxed geometry.

Unit cell a=4.8031 b=4.8031 c=4.8031 alpha=145.54 beta=129.09 gamma=62.93
Closest atoms and distances in Å follow each position.
Fractional positions:
Si  0.0000  0.0000  0.0000  6 Ni 2.27-2.51, 2 Rh 2.39
Ni  0.2157  0.7157  0.5000  2 Si 2.27
Ni  0.4864  0.4864  0.0000  4 Si 2.51, 4 Ni 2.64-2.79, 4 Rh 2.70-2.74
Rh  0.7663  0.2663  0.5000  2 Si 2.39, 4 Ni 2.54

## Properties
Formation energy from raw total energies, kJ/mol of formula units: -137
Total magnetization, μB/atom: 0.00
E, eV per cell: -25.75

6.
DFT (PBE-GGA) results for crystalline Pm6Pr12Cd at its relaxed geometry.

Unit cell a=8.8961 b=8.8961 c=8.8961 alpha=97.82 beta=97.82 gamma=97.82
Closest atoms and distances in Å follow each position.
Fractional positions:
Pm  0.0938  0.3640  0.3640  4 Pr 3.46-3.57, 2 Pm 3.62, 1 Cd 3.63
Pm  0.3640  0.0938  0.3640  4 Pr 3.46-3.57, 2 Pm 3.62, 1 Cd 3.63
Pm  0.3640  0.3640  0.0938  4 Pr 3.46-3.57, 2 Pm 3.62, 1 Cd 3.63
Pm  0.6360  0.6360  0.9062  4 Pr 3.46-3.57, 2 Pm 3.62, 1 Cd 3.63
Pm  0.6360  0.9062  0.6360  4 Pr 3.46-3.57, 2 Pm 3.62, 1 Cd 3.63
Pm  0.9062  0.6360  0.6360  4 Pr 3.46-3.57, 2 Pm 3.62, 1 Cd 3.63
Pr  0.0815  0.0815  0.6714  5 Pr 3.24-3.61
Pr  0.0815  0.6714  0.0815  5 Pr 3.24-3.61
Pr  0.2401  0.5000  0.7599  4 Pm 3.46-3.57, 6 Pr 3.49-3.73, 1 Cd 3.49
Pr  0.2401  0.7599  0.5000  4 Pm 3.46-3.57, 6 Pr 3.49-3.73, 1 Cd 3.49
Pr  0.3286  0.9185  0.9185  5 Pr 3.24-3.61
Pr  0.5000  0.2401  0.7599  4 Pm 3.46-3.57, 1 Cd 3.49, 6 Pr 3.49-3.73
Pr  0.5000  0.7599  0.2401  4 Pm 3.46-3.57, 6 Pr 3.49-3.73, 1 Cd 3.49
Pr  0.6714  0.0815  0.0815  5 Pr 3.24-3.61
Pr  0.7599  0.2401  0.5000  4 Pm 3.46-3.57, 6 Pr 3.49-3.73, 1 Cd 3.49
Pr  0.7599  0.5000  0.2401  4 Pm 3.46-3.57, 6 Pr 3.49-3.73, 1 Cd 3.49
Pr  0.9185  0.3286  0.9185  5 Pr 3.24-3.61
Pr  0.9185  0.9185  0.3286  5 Pr 3.24-3.61
Cd  0.5000  0.5000  0.5000  6 Pr 3.49, 6 Pm 3.63

## Properties
Total magnetization, μB/atom: 0.00
Energy of formation, kJ/mol of atoms: 9.97
E, eV per cell: -84.81

- Look up the total magnetization of the sixth one.
  0.00 μB/atom

- Which of these has the highest total magnetization?
  CrSiPt2

- Which value of E does entry 3 give?
  -87.90 eV per cell